No. 1
Computed, not measured: a relaxed Zr2BiSe crystal at the PBE level of DFT.

Values from the calculation:
formation energy from raw total energies	-0.686	eV/atom
excess energy over the best structure of this formula in the dataset	70	meV/atom
total magnetization	0.00	μB/cell
symmetry	R-3m (166)

a = 4.031 Å, b = 4.031 Å, c = 7.134 Å
α = 73.59°, β = 73.59°, γ = 60.00°
Fractional coordinates of all 4 atoms:
1 Zr 0.732 0.732 0.803
2 Zr 0.268 0.268 0.197
3 Bi 0.500 0.500 0.500
4 Se 0.000 0.000 0.000

---

No. 2
Computed, not measured: a relaxed ZrBiSe crystal at the PBE level of DFT.

Values from the calculation:
formation energy from raw total energies	-0.743	eV/atom
excess energy over the best structure of this formula in the dataset	54	meV/atom
total magnetization	0.00	μB/cell
symmetry	I4mm (107)

a = 3.382 Å, b = 3.382 Å, c = 7.605 Å
α = 102.84°, β = 102.84°, γ = 90.02°
Fractional coordinates of all 3 atoms:
1 Bi 0.307 0.307 0.613
2 Se 0.050 0.050 0.099
3 Zr 0.644 0.644 0.288

---

No. 3
Computed, not measured: a relaxed Zr6Bi3Se crystal at the PBE level of DFT.

Values from the calculation:
formation energy from raw total energies	-0.305	eV/atom
total magnetization	0.00	μB/cell
symmetry	Cmc2_1 (36)

a = 6.665 Å, b = 8.932 Å, c = 8.932 Å
α = 103.85°, β = 90.00°, γ = 90.00°
Fractional coordinates of all 20 atoms:
1 Bi 0.041 0.102 0.287
2 Bi 0.302 0.400 0.600
3 Bi 0.802 0.600 0.400
4 Bi 0.041 0.713 0.898
5 Bi 0.541 0.898 0.713
6 Bi 0.541 0.287 0.102
7 Zr 0.129 0.757 0.243
8 Zr 0.761 0.972 0.028
9 Zr 0.629 0.243 0.757
10 Zr 0.261 0.028 0.972
11 Zr 0.196 0.069 0.591
12 Zr 0.674 0.279 0.419
13 Zr 0.696 0.931 0.409
14 Zr 0.696 0.591 0.069
15 Zr 0.674 0.581 0.721
16 Zr 0.174 0.721 0.581
17 Zr 0.196 0.409 0.931
18 Zr 0.174 0.419 0.279
19 Se 0.471 0.851 0.149
20 Se 0.971 0.149 0.851

---

No. 4
Computed, not measured: a relaxed ZrBiSe2 crystal at the PBE level of DFT.

Values from the calculation:
formation energy from raw total energies	-0.287	eV/atom
total magnetization	0.00	μB/cell
symmetry	I-42d (122)

a = 6.970 Å, b = 6.970 Å, c = 7.337 Å
α = 61.64°, β = 61.64°, γ = 90.00°
Fractional coordinates of all 8 atoms:
1 Se 0.375 0.432 0.750
2 Se 0.182 0.625 0.250
3 Se 0.875 0.818 0.750
4 Se 0.568 0.125 0.250
5 Bi 0.000 0.000 0.000
6 Bi 0.750 0.250 0.500
7 Zr 0.500 0.500 0.000
8 Zr 0.250 0.750 0.500

---

No. 5
Computed, not measured: a relaxed Zr2BiSe crystal at the PBE level of DFT.

Values from the calculation:
formation energy from raw total energies	-0.590	eV/atom
excess energy over the best structure of this formula in the dataset	167	meV/atom
total magnetization	0.00	μB/cell
symmetry	Fm-3m (225)

a = 4.994 Å, b = 4.994 Å, c = 4.994 Å
α = 60.00°, β = 60.00°, γ = 60.00°
Fractional coordinates of all 4 atoms:
1 Zr 0.250 0.250 0.250
2 Zr 0.750 0.750 0.750
3 Se 0.000 0.000 0.000
4 Bi 0.500 0.500 0.500

---

No. 6
Computed, not measured: a relaxed Zr2BiSe crystal at the PBE level of DFT.

Values from the calculation:
formation energy from raw total energies	-0.108	eV/atom
excess energy over the best structure of this formula in the dataset	649	meV/atom
total magnetization	0.00	μB/cell
symmetry	I-42d (122)

a = 5.695 Å, b = 5.695 Å, c = 8.633 Å
α = 70.74°, β = 70.74°, γ = 90.00°
Fractional coordinates of all 8 atoms:
1 Se 0.250 0.750 0.500
2 Se 0.500 0.500 0.000
3 Zr 0.561 0.125 0.250
4 Zr 0.875 0.811 0.750
5 Zr 0.375 0.439 0.750
6 Zr 0.189 0.625 0.250
7 Bi 0.000 0.000 0.000
8 Bi 0.750 0.250 0.500

---

No. 7
Computed, not measured: a relaxed ZrBiSe crystal at the PBE level of DFT.

Values from the calculation:
formation energy from raw total energies	-0.797	eV/atom
excess energy over the best structure of this formula in the dataset	0	meV/atom
total magnetization	0.00	μB/cell
symmetry	C2/m (12)

a = 3.566 Å, b = 7.380 Å, c = 6.691 Å
α = 72.19°, β = 89.97°, γ = 103.98°
Fractional coordinates of all 6 atoms:
1 Se 0.787 0.574 0.728
2 Se 0.213 0.426 0.272
3 Bi 0.513 0.025 0.744
4 Bi 0.487 0.975 0.256
5 Zr 0.849 0.699 0.063
6 Zr 0.151 0.301 0.937

---

No. 8
Computed, not measured: a relaxed Zr2BiSe crystal at the PBE level of DFT.

Values from the calculation:
formation energy from raw total energies	-0.756	eV/atom
excess energy over the best structure of this formula in the dataset	0	meV/atom
total magnetization	0.00	μB/cell
symmetry	P2_1/c (14)

a = 6.966 Å, b = 6.999 Å, c = 7.857 Å
α = 90.00°, β = 89.94°, γ = 90.00°
Fractional coordinates of all 16 atoms:
1 Bi 0.216 0.405 0.116
2 Bi 0.284 0.905 0.884
3 Bi 0.716 0.095 0.116
4 Bi 0.784 0.595 0.884
5 Zr 0.998 0.195 0.400
6 Zr 0.498 0.305 0.400
7 Zr 0.994 0.203 0.829
8 Zr 0.502 0.695 0.600
9 Zr 0.494 0.297 0.829
10 Zr 0.506 0.703 0.171
11 Zr 0.006 0.797 0.171
12 Zr 0.002 0.805 0.600
13 Se 0.213 0.429 0.617
14 Se 0.713 0.071 0.617
15 Se 0.287 0.929 0.383
16 Se 0.787 0.571 0.383